! Ca2FeRh, single point on PBEsol structure, DFT SCAN; values from VASP
&SYSTEM
  ibrav = 0, nat = 4, ntyp = 3
/
ATOMIC_SPECIES
Ca 40.08 Ca.upf
Fe 55.84 Fe.upf
Rh 102.91 Rh.upf
CELL_PARAMETERS angstrom
-1.653 -1.905 1.859
0.861 -2.182 -4.111
4.772 -1.451 2.757
ATOMIC_POSITIONS crystal
Ca 0.756 0.512 0.758
Ca 0.244 0.488 0.242
Fe 0.000 0.000 0.500
Rh 0.500 0.000 0.000
! - SG: No. 12
! - Calculated formation energy: 0.4224 eV/atom



! YInCu2, single point on PBEsol structure, DFT SCAN; values from VASP
&SYSTEM
  ibrav = 0, nat = 4, ntyp = 3
/
ATOMIC_SPECIES
Cu 63.55 Cu.upf
In 114.82 In.upf
Y 88.91 Y.upf
CELL_PARAMETERS angstrom
3.751 0.000 0.000
0.000 4.102 0.000
-1.876 0.000 4.841
ATOMIC_POSITIONS crystal
Cu 0.191 0.000 0.381
Cu 0.057 0.500 0.113
In 0.480 0.000 0.961
Y 0.773 0.500 0.545
! - SG: No. 38
! - Calculated formation energy: -0.2778 eV/atom